Entry 1:
Density functional theory data (PBE) for a relaxed structure of Ba2MgAl.

Lattice parameters (Å, degrees): 9.584 9.584 7.711 51.58 51.58 90.00
Element x y z (fractional)
Mg: 0.500 0.500 0.000
Mg: 0.250 0.750 0.500
Ba: 0.650 0.125 0.250
Ba: 0.100 0.625 0.250
Ba: 0.375 0.350 0.750
Ba: 0.875 0.900 0.750
Al: 0.000 0.000 0.000
Al: 0.750 0.250 0.500

Values from the calculation:
magnetic moment	0.02	μB per formula unit
formation enthalpy at 0 K	1.2	eV/f.u.
raw total energy	-2.00	eV per atom
mass density	3.204	g/cm3
ΔE to the lowest computed polymorph	0.413	eV/atom

Entry 2:
Density functional theory data (PBE) for a relaxed structure of Mg2RuAu.

Lattice parameters (Å, degrees): 2.835 4.270 5.586 90.00 90.00 90.00
Element x y z (fractional)
Au: 0.500 0.500 0.766
Mg: 0.000 0.000 0.979
Mg: 0.500 0.500 0.281
Ru: 0.000 0.000 0.475

Values from the calculation:
magnetic moment	0.00	μB per formula unit
formation enthalpy at 0 K	-0.3	eV/f.u.
raw total energy	-4.00	eV per atom
mass density	8.512	g/cm3

Entry 3:
Density functional theory data (PBE) for a relaxed structure of LaHf3Mg.

Lattice parameters (Å, degrees): 5.173 5.173 5.173 90.00 90.00 90.00
Element x y z (fractional)
Mg: 0.000 0.000 0.000
Hf: 0.000 0.500 0.000
Hf: 0.000 0.000 0.500
Hf: 0.500 0.000 0.000
La: 0.500 0.500 0.500

Values from the calculation:
magnetic moment	0.00	μB per formula unit
formation enthalpy at 0 K	5.1	eV/f.u.
raw total energy	-6.26	eV per atom
mass density	8.381	g/cm3
ΔE to the lowest computed polymorph	0.000	eV/atom

Entry 4:
Density functional theory data (PBE) for a relaxed structure of Tl2ZnSb.

Lattice parameters (Å, degrees): 5.419 5.419 5.419 60.00 60.00 60.00
Element x y z (fractional)
Sb: 0.500 0.500 0.500
Tl: 0.250 0.250 0.250
Tl: 0.750 0.750 0.750
Zn: 0.000 0.000 0.000

Values from the calculation:
raw formation energy	0.12	eV per atom
magnetic moment	0.00	μB per formula unit
raw total energy	-2.41	eV per atom
mass density	8.794	g/cm3
ΔE to the lowest computed polymorph	0.096	eV/atom

Entry 5:
Density functional theory data (PBE) for a relaxed structure of ErPuTc.

Lattice parameters (Å, degrees): 5.075 5.075 6.920 68.49 68.49 60.00
Each line ends with the local moment (μB).
Element x y z (fractional)
Tc: 0.568 0.568 0.295  0.46
Tc: 0.432 0.432 0.705  0.46
Pu: 0.298 0.298 0.105  -5.21
Pu: 0.702 0.702 0.895  -5.21
Er: 0.878 0.878 0.366  -0.30
Er: 0.122 0.122 0.634  -0.30

Values from the calculation:
magnetic moment	5.33	μB per formula unit
formation enthalpy at 0 K	0.3	eV/f.u.
raw total energy	-9.67	eV per atom
mass density	12.095	g/cm3
ΔE to the lowest computed polymorph	0.082	eV/atom

Entry 6:
Density functional theory data (PBE) for a relaxed structure of Be3PtO.

Lattice parameters (Å, degrees): 3.589 3.589 3.589 90.00 90.00 90.00
Element x y z (fractional)
Be: 0.000 0.500 0.000
Be: 0.000 0.000 0.500
Be: 0.500 0.000 0.000
O: 0.000 0.000 0.000
Pt: 0.500 0.500 0.500

Values from the calculation:
raw formation energy	-0.86	eV per atom
magnetic moment	0.00	μB per formula unit
raw total energy	-5.30	eV per atom
mass density	8.554	g/cm3
ΔE to the lowest computed polymorph	0.000	eV/atom

Entry 7:
Density functional theory data (PBE) for a relaxed structure of LiAgN3.

Lattice parameters (Å, degrees): 3.651 3.651 3.651 90.00 90.00 90.00
Element x y z (fractional)
Li: 0.000 0.000 0.000
Ag: 0.500 0.500 0.500
N: 0.000 0.500 0.000
N: 0.000 0.000 0.500
N: 0.500 0.000 0.000

Values from the calculation:
raw formation energy	2.27	eV per atom
magnetic moment	0.00	μB per formula unit
raw total energy	-3.67	eV per atom
mass density	5.352	g/cm3

Entry 8:
Density functional theory data (PBE) for a relaxed structure of Tb4PrDyHo2.

Lattice parameters (Å, degrees): 9.504 9.504 11.793 128.35 128.35 88.47
Each line ends with the local moment (μB).
Element x y z (fractional)
Tb: 0.253 0.751 0.002  0.26
Tb: 0.749 0.247 0.498  0.26
Tb: 0.251 0.753 0.502  0.26
Tb: 0.747 0.249 0.998  0.26
Tb: 0.748 0.753 0.001  0.27
Tb: 0.747 0.752 0.499  0.27
Tb: 0.253 0.248 0.501  0.27
Tb: 0.252 0.247 0.999  0.27
Pr: 0.000 0.500 0.000  0.22
Pr: 0.000 0.500 0.500  0.22
Dy: 0.500 0.500 0.500  0.30
Dy: 0.000 0.000 0.000  0.30
Ho: 0.500 0.000 0.000  0.21
Ho: 0.500 0.000 0.500  0.21
Ho: 0.000 0.000 0.500  0.29
Ho: 0.500 0.500 0.000  0.29

Values from the calculation:
magnetic moment	2.83	μB per formula unit
formation enthalpy at 0 K	3.4	eV/f.u.
raw total energy	-4.20	eV per atom
mass density	7.914	g/cm3

Entry 9:
Density functional theory data (PBE) for a relaxed structure of CsSrTiF6.

Lattice parameters (Å, degrees): 8.259 7.895 7.816 120.33 121.89 90.00
Each line ends with the local moment (μB).
Element x y z (fractional)
Cs: 0.850 0.600 0.701  0.00
Cs: 0.150 0.400 0.299  0.00
Sr: 0.500 0.000 0.500  0.00
Sr: 0.000 0.000 0.500  0.00
Ti: 0.500 0.500 0.000  0.92
Ti: 0.500 0.000 0.000  0.92
F: 0.528 0.778 0.055  -0.01
F: 0.862 0.112 0.723  0.00
F: 0.799 0.142 0.262  0.00
F: 0.462 0.619 0.262  0.00
F: 0.462 0.142 0.262  0.00
F: 0.799 0.619 0.262  0.00
F: 0.472 0.222 0.945  -0.01
F: 0.138 0.888 0.277  0.00
F: 0.201 0.858 0.738  0.00
F: 0.538 0.381 0.738  0.00
F: 0.538 0.858 0.738  0.00
F: 0.201 0.381 0.738  0.00

Values from the calculation:
raw formation energy	-3.44	eV per atom
magnetic moment	1.00	μB per formula unit
raw total energy	-5.84	eV per atom
mass density	3.651	g/cm3

Entry 10:
Density functional theory data (PBE) for a relaxed structure of DyTh4Zn5.

Lattice parameters (Å, degrees): 3.644 3.644 18.265 90.00 90.00 90.00
Element x y z (fractional)
Dy: 0.000 0.000 0.000
Th: 0.000 0.000 0.197
Th: 0.000 0.000 0.399
Th: 0.000 0.000 0.601
Th: 0.000 0.000 0.803
Zn: 0.500 0.500 0.091
Zn: 0.500 0.500 0.298
Zn: 0.500 0.500 0.500
Zn: 0.500 0.500 0.702
Zn: 0.500 0.500 0.909

Values from the calculation:
magnetic moment	0.00	μB per formula unit
formation enthalpy at 0 K	-2.1	eV/f.u.
raw total energy	-4.27	eV per atom
mass density	9.704	g/cm3